Here is CrGa2H after structural relaxation from Alexandria. Energies are from GGA-PBE. Values from VASP.

Cell and atoms, written as Quantum ESPRESSO input:
```
&SYSTEM
  ibrav = 0, nat = 8, ntyp = 3
/
ATOMIC_SPECIES
Cr 52.00 Cr.upf
Ga 69.72 Ga.upf
H 1.01 H.upf
CELL_PARAMETERS angstrom
6.181 0.000 0.000
0.000 6.181 0.000
3.090 3.090 2.470
ATOMIC_POSITIONS crystal
Cr 0.000 0.000 0.000
Cr 0.750 0.250 0.500
Ga 0.550 0.125 0.250
Ga 0.200 0.625 0.250
Ga 0.375 0.450 0.750
Ga 0.875 0.800 0.750
H 0.500 0.500 0.000
H 0.250 0.750 0.500
```

SG: I-42d, No. 122
Fermi-level density of states (states/eV per cell): 2.69
Energy above the lowest structure with this stoichiometry (kcal/mol of atoms): 0.00

---

Here is KDyO2 after structural relaxation from Alexandria. Energies are from GGA-PBE. Values from VASP.

Cell and atoms, written as Quantum ESPRESSO input:
```
&SYSTEM
  ibrav = 0, nat = 4, ntyp = 3
/
ATOMIC_SPECIES
K 39.10 K.upf
Dy 162.50 Dy.upf
O 16.00 O.upf
CELL_PARAMETERS angstrom
-1.790 2.692 1.253
-3.414 0.221 -0.557
-2.825 -2.266 5.628
ATOMIC_POSITIONS crystal
K 0.497 0.497 0.510
Dy 0.667 0.667 0.999
O 0.063 0.063 0.812
O 0.274 0.274 0.179
```

Formation energy (no corrections) (eV/f.u.): -10.91
SG: R3m, No. 160
Fermi-level density of states (states/eV per cell): 0.00

---

Here is IrWSe4 after structural relaxation from Alexandria. Energies are from GGA-PBE. Values from VASP.

Cell and atoms, written as Quantum ESPRESSO input:
```
&SYSTEM
  ibrav = 0, nat = 6, ntyp = 3
/
ATOMIC_SPECIES
Ir 192.22 Ir.upf
W 183.84 W.upf
Se 78.96 Se.upf
CELL_PARAMETERS angstrom
-2.505 -1.937 1.538
-1.201 -0.756 -6.937
3.961 -4.346 0.978
ATOMIC_POSITIONS crystal
Ir 0.998 0.997 0.040
W 0.502 0.004 0.445
Se 0.902 0.803 0.628
Se 0.132 0.263 0.398
Se 0.371 0.741 0.103
Se 0.595 0.191 0.885
```

Formation energy (no corrections) (eV/f.u.): -2.15
SG: Cm, No. 8
Fermi-level density of states (states/eV per cell): 1.42
Energy above the lowest structure with this stoichiometry (kcal/mol of atoms): 0.00